No. 1
# AcLa6Sm PBE relaxed
data_AcLa6Sm
_space_group_name_H-M_alt 'P 4/m m m'
_space_group_IT_number 123
_space_group_name_Hall '-P 4 2'
_cell_length_a 5.295
_cell_length_b 5.295
_cell_length_c 10.595
_cell_angle_alpha 90.00
_cell_angle_beta 90.00
_cell_angle_gamma 90.00
loop_
_atom_site_label
_atom_site_type_symbol
_atom_site_fract_x
_atom_site_fract_y
_atom_site_fract_z
_atom_site_occupancy
Ac1 Ac 0.000 0.000 0.000 1
La1 La 0.000 0.500 0.256 1
La2 La 0.500 0.500 0.000 1
La3 La 0.500 0.500 0.500 1
Sm1 Sm 0.000 0.000 0.500 1
# Total moment = 0.00 μB per formula unit
# Energy of formation from the pure elements = 0.0115 eV per atom
# Energy = -4.788 eV per atom

No. 2
# AcLa3Sm3 PBE relaxed
data_AcLa3Sm3
_space_group_name_H-M_alt 'C 1 m 1'
_space_group_IT_number 8
_cell_length_a 13.932
_cell_length_b 23.109
_cell_length_c 6.801
_cell_angle_alpha 90.00
_cell_angle_beta 107.66
_cell_angle_gamma 90.00
loop_
_space_group_symop_operation_xyz
'x,y,z'
'x,-y,z'
'x+1/2,y+1/2,z'
'x+1/2,-y+1/2,z'
loop_
_atom_site_label
_atom_site_type_symbol
_atom_site_fract_x
_atom_site_fract_y
_atom_site_fract_z
_atom_site_occupancy
Ac1 Ac 0.000 0.000 0.000 1
Ac2 Ac 0.112 0.084 0.581 1
Ac3 Ac 0.337 0.500 0.434 1
La1 La 0.181 0.375 0.515 1
La2 La 0.262 0.000 0.243 1
La3 La 0.267 0.270 0.283 1
La4 La 0.355 0.105 0.985 1
La5 La 0.362 0.375 0.068 1
La6 La 0.449 0.000 0.728 1
La7 La 0.459 0.286 0.707 1
Sm1 Sm 0.005 0.262 0.238 1
Sm2 Sm 0.041 0.500 0.281 1
Sm3 Sm 0.096 0.365 0.954 1
Sm4 Sm 0.136 0.141 0.110 1
Sm5 Sm 0.204 0.500 0.856 1
Sm6 Sm 0.220 0.233 0.750 1
Sm7 Sm 0.390 0.136 0.496 1
# Total moment = 0.00 μB per formula unit
# Energy of formation from the pure elements = 0.1073 eV per atom
# Energy = -4.614 eV per atom
# Relative energy among the computed polymorphs = 0.066 eV per atom

What did the first record say?
# AcLa6Sm PBE relaxed
data_AcLa6Sm
_space_group_name_H-M_alt 'P 4/m m m'
_space_group_IT_number 123
_space_group_name_Hall '-P 4 2'
_cell_length_a 5.295
_cell_length_b 5.295
_cell_length_c 10.595
_cell_angle_alpha 90.00
_cell_angle_beta 90.00
_cell_angle_gamma 90.00
loop_
_atom_site_label
_atom_site_type_symbol
_atom_site_fract_x
_atom_site_fract_y
_atom_site_fract_z
_atom_site_occupancy
Ac1 Ac 0.000 0.000 0.000 1
La1 La 0.000 0.500 0.256 1
La2 La 0.500 0.500 0.000 1
La3 La 0.500 0.500 0.500 1
Sm1 Sm 0.000 0.000 0.500 1
# Total moment = 0.00 μB per formula unit
# Energy of formation from the pure elements = 0.0115 eV per atom
# Energy = -4.788 eV per atom